A plane-wave DFT calculation with PBE was carried out for NaNd2Pb after structural relaxation.

Cell and atoms, written as POSCAR:
```
NaNd2Pb
1.0
-1.191 3.821 -3.843
-4.890 2.619 0.113
-0.243 5.363 1.402
Nd Pb Na
2 1 1
Direct
0.250 0.250 0.250 Nd
0.750 0.750 0.750 Nd
0.000 0.000 0.000 Pb
0.500 0.500 0.500 Na
```

* ΔE_f: -89 kJ/mol of formula units
* symmetry: Fm-3m, No. 225
* polymorph energy (0 for the lowest one): 0.0 meV per atom
* E_tot: -3.8711 eV per atom